# 1
Material: AgTeNF2
Method: DFT, GGA-PBE
State: optimized geometry

## Properties
**Electronic total energy**: -3.837 eV per atom
**Energy above the lowest structure with this stoichiometry**: 0 kJ/mol of formula units
**Raw formation energy**: -0.23 eV per atom
**Symmetry**: No. 123

abc: 4.5494 4.5494 4.1298
angles: 90.00 90.00 90.00
Closest atoms and distances in Å follow each position.
Positions (direct):
Ag 0.0000 0.0000 0.0000  8 F 3.07, 4 N 3.22
Te 0.5000 0.5000 0.5000  2 N 2.06, 4 F 2.27
N 0.5000 0.5000 0.0000  2 Te 2.06
F 0.0000 0.5000 0.5000  2 Te 2.27
F 0.5000 0.0000 0.5000  2 Te 2.27



# 2
Material: CsTl2PtBr
Method: DFT, GGA-PBE
State: optimized geometry

## Properties
**Electronic total energy**: -2.508 eV per atom
**Energy above the lowest structure with this stoichiometry**: 343 kJ/mol of formula units
**Raw formation energy**: 0.15 eV per atom
**Symmetry**: No. 123

abc: 6.1394 6.1394 5.1907
angles: 90.00 90.00 90.00
Closest atoms and distances in Å follow each position.
Positions (direct):
Cs 0.0000 0.0000 0.0000  8 Tl 4.02, 4 Pt 4.34
Tl 0.0000 0.5000 0.5000  2 Br 3.07
Tl 0.5000 0.0000 0.5000  2 Br 3.07
Pt 0.5000 0.5000 0.0000  2 Br 2.60
Br 0.5000 0.5000 0.5000  2 Pt 2.60



# 3
Material: Zn2AgTe
Method: DFT, GGA-PBE
State: optimized geometry

## Properties
**Electronic total energy**: -1.948 eV per atom
**Energy above the lowest structure with this stoichiometry**: 73 kJ/mol of formula units
**Raw formation energy**: 0.19 eV per atom
**Symmetry**: No. 65

abc: 3.0865 3.0865 8.8528
angles: 90.00 90.00 99.81
Closest atoms and distances in Å follow each position.
Positions (direct):
Zn 0.0000 0.0000 0.2089  4 Ag 2.71-3.00
Zn 0.0000 0.0000 0.7911  4 Ag 2.71-3.00
Ag 0.5000 0.5000 0.0000  8 Zn 2.71-3.00
Te 0.5000 0.5000 0.5000  4 Te 3.09, 4 Zn 3.25



# 4
Material: ZnInW2
Method: DFT, GGA-PBE
State: optimized geometry

## Properties
**Electronic total energy**: -7.138 eV per atom
**ΔE_f**: 0.341 eV per atom
**Energy above the lowest structure with this stoichiometry**: 0 kJ/mol of formula units
**Symmetry**: No. 99

abc: 3.3448 3.3448 6.1837
angles: 90.00 90.00 90.00
Closest atoms and distances in Å follow each position.
Positions (direct):
Zn 0.0000 0.0000 0.0000  5 W 2.76-2.81, 4 In 2.84
In 0.5000 0.5000 0.2544  4 Zn 2.84, 6 W 3.00-3.09
W 0.0000 0.0000 0.5539  4 W 2.67, 1 Zn 2.76
W 0.5000 0.5000 0.7542  4 W 2.67, 4 Zn 2.81



# 5
Material: Dy12InRh6
Method: DFT, GGA-PBE
State: optimized geometry

## Properties
**Electronic total energy**: -5.978 eV per atom
**ΔE_f**: -0.605 eV per atom
**Symmetry**: No. 204

abc: 8.5544 8.5544 8.5544
angles: 109.47 109.47 109.47
Closest atoms and distances in Å follow each position.
Positions (direct):
Dy 0.1113 0.8110 0.3003  1 Rh 2.66
Dy 0.1890 0.3003 0.4893  1 Rh 2.66
Dy 0.1890 0.6997 0.8887  1 Rh 2.66
Dy 0.3003 0.1113 0.8110  1 Rh 2.66
Dy 0.3003 0.4893 0.1890  1 Rh 2.66
Dy 0.4893 0.1890 0.3003  1 Rh 2.66
Dy 0.5107 0.8110 0.6997  1 Rh 2.66
Dy 0.6997 0.5107 0.8110  1 Rh 2.66
Dy 0.6997 0.8887 0.1890  1 Rh 2.66
Dy 0.8110 0.3003 0.1113  1 Rh 2.66
Dy 0.8110 0.6997 0.5107  1 Rh 2.66
Dy 0.8887 0.1890 0.6997  1 Rh 2.66
In 0.0000 0.0000 0.0000  12 Dy 3.50
Rh 0.1300 0.6300 0.5000  1 Rh 2.57, 2 Dy 2.66
Rh 0.3700 0.5000 0.8700  1 Rh 2.57, 2 Dy 2.66
Rh 0.5000 0.1300 0.6300  1 Rh 2.57, 2 Dy 2.66
Rh 0.5000 0.8700 0.3700  1 Rh 2.57, 2 Dy 2.66
Rh 0.6300 0.5000 0.1300  1 Rh 2.57, 2 Dy 2.66
Rh 0.8700 0.3700 0.5000  1 Rh 2.57, 2 Dy 2.66



# 6
Material: Tb6BiSe2S3
Method: DFT, GGA-PBE
State: optimized geometry

## Properties
**Electronic total energy**: -5.969 eV per atom
**Raw formation energy**: -1.72 eV per atom
**Symmetry**: No. 12

abc: 9.1712 9.1712 8.2571
angles: 104.14 104.14 25.48
Closest atoms and distances in Å follow each position.
Positions (direct):
Tb 0.0047 0.0047 0.2238  3 S 2.73-2.78, 1 Se 3.02
Tb 0.3239 0.3239 0.4328  3 S 2.76-2.80, 2 Se 3.02, 1 Bi 3.06
Tb 0.3387 0.3387 0.9054  3 S 2.78-2.79, 3 Se 2.95-2.98
Tb 0.6613 0.6613 0.0946  3 S 2.78-2.79, 3 Se 2.95-2.98
Tb 0.6761 0.6761 0.5672  3 S 2.76-2.80, 2 Se 3.02, 1 Bi 3.06
Tb 0.9953 0.9953 0.7762  3 S 2.73-2.78, 1 Se 3.02
Bi 0.5000 0.5000 0.5000  6 Tb 3.06-3.07
Se 0.1688 0.1688 0.8336  6 Tb 2.95-3.02
Se 0.8312 0.8312 0.1664  6 Tb 2.95-3.02
S 0.1649 0.1649 0.3272  6 Tb 2.76-2.80
S 0.5000 0.5000 0.0000  6 Tb 2.73-2.79
S 0.8351 0.8351 0.6728  6 Tb 2.76-2.80



# 7
Material: CaNd4Rh4
Method: DFT, GGA-PBE
State: optimized geometry

## Properties
**Electronic total energy**: -6.120 eV per atom
**ΔE_f**: -0.511 eV per atom
**Symmetry**: No. 86

abc: 9.0239 9.0239 5.7623
angles: 90.00 90.00 90.00
Closest atoms and distances in Å follow each position.
Positions (direct):
Ca 0.2500 0.2500 0.2500  4 Rh 2.84
Ca 0.7500 0.7500 0.7500  4 Rh 2.84
Nd 0.0657 0.6636 0.1545  5 Rh 2.80-3.05
Nd 0.1636 0.9343 0.6545  5 Rh 2.80-3.05
Nd 0.3364 0.5657 0.6545  5 Rh 2.80-3.05
Nd 0.4343 0.8364 0.1545  5 Rh 2.80-3.05
Nd 0.5657 0.1636 0.8455  5 Rh 2.80-3.05
Nd 0.6636 0.4343 0.3455  5 Rh 2.80-3.05
Nd 0.8364 0.0657 0.3455  5 Rh 2.80-3.05
Nd 0.9343 0.3364 0.8455  5 Rh 2.80-3.05
Rh 0.0313 0.6239 0.6497  5 Nd 2.80-3.05, 1 Ca 2.84, 1 Rh 2.88
Rh 0.1239 0.9687 0.1497  5 Nd 2.80-3.05, 1 Ca 2.84, 1 Rh 2.88
Rh 0.3761 0.5313 0.1497  5 Nd 2.80-3.05, 1 Ca 2.84, 1 Rh 2.88
Rh 0.4687 0.8761 0.6497  5 Nd 2.80-3.05, 1 Ca 2.84, 1 Rh 2.88
Rh 0.5313 0.1239 0.3503  5 Nd 2.80-3.05, 1 Ca 2.84, 1 Rh 2.88
Rh 0.6239 0.4687 0.8503  5 Nd 2.80-3.05, 1 Ca 2.84, 1 Rh 2.88
Rh 0.8761 0.0313 0.8503  5 Nd 2.80-3.05, 1 Ca 2.84, 1 Rh 2.88
Rh 0.9687 0.3761 0.3503  5 Nd 2.80-3.05, 1 Ca 2.84, 1 Rh 2.88



# 8
Material: YMgCoPd
Method: DFT, GGA-PBE
State: optimized geometry

## Properties
**Electronic total energy**: -5.436 eV per atom
**ΔE_f**: -0.347 eV per atom
**Symmetry**: No. 216

abc: 4.6600 4.6600 4.6600
angles: 60.00 60.00 60.00
Closest atoms and distances in Å follow each position.
Positions (direct):
Y 0.0000 0.0000 0.0000  4 Co 2.85, 4 Pd 2.85
Mg 0.5000 0.5000 0.5000  4 Co 2.85, 4 Pd 2.85
Co 0.2500 0.2500 0.2500  4 Mg 2.85, 4 Y 2.85
Pd 0.7500 0.7500 0.7500  4 Mg 2.85, 4 Y 2.85



# 9
Material: DyUCo
Method: DFT, GGA-PBE
State: optimized geometry

## Properties
**Electronic total energy**: -7.630 eV per atom
**ΔE_f**: 0.036 eV per atom
**Symmetry**: No. 166

abc: 11.1072 11.1072 11.1072
angles: 19.64 19.64 19.64
Closest atoms and distances in Å follow each position.
Positions (direct):
Dy 0.0585 0.0585 0.0585  6 Co 2.90-2.91
Dy 0.9415 0.9415 0.9415  6 Co 2.90-2.91
U 0.1864 0.1864 0.1864  3 U 2.54
U 0.8136 0.8136 0.8136  3 U 2.54
Co 0.3330 0.3330 0.3330  3 Co 2.19
Co 0.6670 0.6670 0.6670  3 Co 2.19



# 10
Material: Rb2In2HgI6
Method: DFT, GGA-PBE
State: optimized geometry

## Properties
**Electronic total energy**: -2.378 eV per atom
**Raw formation energy**: -0.83 eV per atom
**Symmetry**: No. 2

abc: 6.6326 9.3878 10.5285
angles: 99.51 107.56 104.50
Closest atoms and distances in Å follow each position.
Positions (direct):
Rb 0.2403 0.1630 0.3313  7 I 3.75-3.90
Rb 0.7597 0.8370 0.6687  7 I 3.75-3.90
In 0.3638 0.6817 0.1686  1 Hg 2.76, 3 I 2.85-2.88
In 0.6362 0.3183 0.8314  1 Hg 2.76, 3 I 2.85-2.88
Hg 0.5000 0.5000 0.0000  2 In 2.76
I 0.0062 0.7892 0.0388  1 In 2.87
I 0.2154 0.5683 0.3709  1 In 2.85
I 0.3229 0.0277 0.6602  1 In 2.88
I 0.6771 0.9723 0.3398  1 In 2.88
I 0.7846 0.4317 0.6291  1 In 2.85
I 0.9938 0.2108 0.9612  1 In 2.87



# 11
Material: BaHRh2
Method: DFT, GGA-PBE
State: optimized geometry

## Properties
**Electronic total energy**: -4.033 eV per atom
**Energy above the lowest structure with this stoichiometry**: 460 kJ/mol of formula units
**Symmetry**: No. 225

abc: 4.6844 4.6844 4.6844
angles: 60.00 60.00 60.00
Closest atoms and distances in Å follow each position.
Positions (direct):
Ba 0.0000 0.0000 0.0000  8 Rh 2.87
H 0.5000 0.5000 0.5000  8 Rh 2.87
Rh 0.2500 0.2500 0.2500  4 Ba 2.87, 4 H 2.87
Rh 0.7500 0.7500 0.7500  4 Ba 2.87, 4 H 2.87



# 12
Material: PaFeS2
Method: DFT, GGA-PBE
State: optimized geometry

## Properties
**Electronic total energy**: -7.136 eV per atom
**Energy above the lowest structure with this stoichiometry**: 167 kJ/mol of formula units
**Raw formation energy**: -0.58 eV per atom
**Symmetry**: No. 166

abc: 7.6183 7.6183 7.6183
angles: 30.48 30.48 30.48
Closest atoms and distances in Å follow each position.
Positions (direct):
Pa 0.0000 0.0000 0.0000  6 S 2.74
Fe 0.5000 0.5000 0.5000  2 S 2.16
S 0.4008 0.4008 0.4008  1 Fe 2.16
S 0.5992 0.5992 0.5992  1 Fe 2.16



What did the second record say?
Material: CsTl2PtBr
Method: DFT, GGA-PBE
State: optimized geometry

## Properties
**Electronic total energy**: -2.508 eV per atom
**Energy above the lowest structure with this stoichiometry**: 343 kJ/mol of formula units
**Raw formation energy**: 0.15 eV per atom
**Symmetry**: No. 123

abc: 6.1394 6.1394 5.1907
angles: 90.00 90.00 90.00
Closest atoms and distances in Å follow each position.
Positions (direct):
Cs 0.0000 0.0000 0.0000  8 Tl 4.02, 4 Pt 4.34
Tl 0.0000 0.5000 0.5000  2 Br 3.07
Tl 0.5000 0.0000 0.5000  2 Br 3.07
Pt 0.5000 0.5000 0.0000  2 Br 2.60
Br 0.5000 0.5000 0.5000  2 Pt 2.60



> Among the records above, which one has the highest electronic total energy?

Zn2AgTe



> Which formula does entry 4 have?

ZnInW2